Density functional theory data (PBE) for DyMg5Sc2 after structural relaxation.

Cell: 5.1315 5.1315 14.5409 Å, 90.00 90.00 90.00°
Last column: nearest neighbours and their distance in Å.
Space group I4/mmm (No. 139)
Inequivalent atoms, fractional coordinates:
1 Dy 0.0000 0.0000 0.0000 [2 per cell]  8 Mg 3.18
2 Mg 0.0000 0.0000 0.5000 [2 per cell]  8 Mg 3.18
3 Mg 0.0000 0.5000 0.1287 [8 per cell]  4 Sc 3.07-3.15, 2 Dy 3.18, 2 Mg 3.18
4 Sc 0.0000 0.0000 0.2548 [4 per cell]  8 Mg 3.07-3.15

Energy above the lowest structure with this stoichiometry ... 0.000 eV/atom
Formation energy ... -0.050 eV per atom

---

Density functional theory data (PBE) for Dy2MgSc after structural relaxation.

Cell: 7.5977 7.5977 7.5977 Å, 90.00 90.00 90.00°
Last column: nearest neighbours and their distance in Å.
Space group Fm-3m (No. 225)
Inequivalent atoms, fractional coordinates:
1 Dy 0.2500 0.2500 0.2500 [8 per cell]  4 Mg 3.29, 4 Sc 3.29
2 Mg 0.0000 0.0000 0.0000 [4 per cell]  8 Dy 3.29
3 Sc 0.0000 0.0000 0.5000 [4 per cell]  8 Dy 3.29

Energy above the lowest structure with this stoichiometry ... 0.039 eV/atom
Formation energy ... 0.026 eV per atom

---

- Which formula does entry 1 have?
  DyMg5Sc2

---

Please write out number 2 again, unchanged.
Density functional theory data (PBE) for Dy2MgSc after structural relaxation.

Cell: 7.5977 7.5977 7.5977 Å, 90.00 90.00 90.00°
Last column: nearest neighbours and their distance in Å.
Space group Fm-3m (No. 225)
Inequivalent atoms, fractional coordinates:
1 Dy 0.2500 0.2500 0.2500 [8 per cell]  4 Mg 3.29, 4 Sc 3.29
2 Mg 0.0000 0.0000 0.0000 [4 per cell]  8 Dy 3.29
3 Sc 0.0000 0.0000 0.5000 [4 per cell]  8 Dy 3.29

Energy above the lowest structure with this stoichiometry ... 0.039 eV/atom
Formation energy ... 0.026 eV per atom

---

- Which of these has the lowest energy above the lowest structure with this stoichiometry?
  DyMg5Sc2

---

- The highest energy above the lowest structure with this stoichiometry belongs to which entry?
  Dy2MgSc